1.
Material: YPaRh2
Method: DFT, PBE
State: relaxed

energy of formation from the pure elements	-0.767	eV/atom
polymorph energy (0 for the lowest one)	103.7	meV per atom
magnetization	0.0	μB/f.u.
DOS at the Fermi energy	0.716	states/eV/atom

```
YPaRh2
1.0
-2.956 2.529 0.225
-3.297 -0.677 -1.963
-4.590 -2.791 4.806
Rh Pa Y
2 1 1
Direct
0.257 0.257 0.228
0.743 0.743 0.772
0.000 0.000 0.000
0.500 0.500 0.500
```

2.
Material: NdYZn
Method: DFT, PBE
State: relaxed

energy of formation from the pure elements	-0.045	eV/atom
polymorph energy (0 for the lowest one)	162.6	meV per atom
magnetization	0.0	μB/f.u.
DOS at the Fermi energy	1.336	states/eV/atom

```
NdYZn
1.0
3.800 0.000 0.000
0.000 5.027 0.000
0.000 -2.513 4.353
Nd Y Zn
1 1 1
Direct
0.623 0.667 0.333
0.080 0.000 0.000
0.297 0.333 0.667
```

3.
Material: HCl3F
Method: DFT, PBE
State: relaxed

polymorph energy (0 for the lowest one)	91.7	meV per atom
magnetization	0.0	μB/f.u.
DOS at the Fermi energy	0.863	states/eV/atom

```
HCl3F
1.0
14.278 0.170 -12.144
-0.034 4.014 0.027
-19.761 -0.262 21.419
H Cl F
2 6 2
Direct
0.512 0.463 0.286
0.017 0.892 0.790
0.396 0.171 0.452
0.272 0.821 0.427
0.779 0.530 0.932
0.284 0.701 0.930
0.777 0.655 0.426
0.901 0.182 0.955
0.149 0.518 0.395
0.657 0.832 0.900
```

4.
Material: Tm5Co2Si
Method: DFT, PBE
State: relaxed

uncorrected formation energy	-0.36	eV/atom
magnetization	0.0	μB/f.u.
DOS at the Fermi energy	1.193	states/eV/atom

```
Tm5Co2Si
1.0
6.534 0.000 -3.085
-1.456 6.370 -3.085
-0.013 -0.017 8.436
Si Tm Co
2 10 4
Direct
0.750 0.750 0.500
0.250 0.250 0.500
0.529 0.690 0.719
0.971 0.471 0.281
0.190 0.029 0.719
0.000 0.000 0.000
0.471 0.310 0.281
0.029 0.529 0.719
0.500 0.500 0.000
0.310 0.810 0.281
0.810 0.971 0.281
0.690 0.190 0.719
0.616 0.116 0.000
0.884 0.616 0.000
0.384 0.884 0.000
0.116 0.384 0.000
```

5.
Material: TaSe
Method: DFT, PBE
State: relaxed

uncorrected formation energy	-0.38	eV/atom
magnetization	0.0	μB/f.u.
DOS at the Fermi energy	0.474	states/eV/atom

```
TaSe
1.0
9.366 0.000 0.000
-4.683 8.111 0.000
0.000 0.000 3.525
Se Ta
6 6
Direct
0.966 0.683 0.250
0.683 0.717 0.750
0.034 0.317 0.750
0.283 0.966 0.750
0.317 0.283 0.250
0.717 0.034 0.250
0.627 0.492 0.250
0.508 0.134 0.250
0.373 0.508 0.750
0.492 0.866 0.750
0.866 0.373 0.250
0.134 0.627 0.750
```

6.
Material: BaHf2Mn
Method: DFT, PBE
State: relaxed

energy of formation from the pure elements	1.006	eV/atom
polymorph energy (0 for the lowest one)	48.7	meV per atom
magnetization	0.0	μB/f.u.
DOS at the Fermi energy	2.448	states/eV/atom

```
BaHf2Mn
1.0
0.000 3.511 3.511
3.511 0.000 3.511
3.511 3.511 0.000
Mn Hf Ba
1 2 1
Direct
0.000 0.000 0.000
0.750 0.750 0.750
0.250 0.250 0.250
0.500 0.500 0.500
```

7.
Material: BeFeAu4
Method: DFT, PBE
State: relaxed

energy of formation from the pure elements	0.611	eV/atom
magnetization	3.1	μB/f.u.
DOS at the Fermi energy	1.091	states/eV/atom

```
BeFeAu4
1.0
-1.318 -5.227 0.347
0.234 -2.534 4.765
-4.554 -1.476 2.500
Be Au Fe
1 4 1
Direct
0.250 0.250 0.250
0.625 0.125 0.625
0.625 0.625 0.625
0.125 0.625 0.625
0.625 0.625 0.125
0.000 0.000 0.000
```

8.
Material: BaTiNbPd2
Method: DFT, PBE
State: relaxed

energy of formation from the pure elements	0.304	eV/atom
magnetization	0.6	μB/f.u.
DOS at the Fermi energy	1.123	states/eV/atom

```
BaTiNbPd2
1.0
-2.550 2.721 3.402
-0.852 -3.915 2.493
4.260 0.733 2.606
Ba Ti Pd Nb
1 1 2 1
Direct
0.500 0.500 0.500
0.000 0.000 0.000
0.500 0.000 0.000
0.000 0.000 0.500
0.000 0.500 0.000
```

9.
Material: Pm7DyEr4
Method: DFT, PBE
State: relaxed

energy of formation from the pure elements	0.219	eV/atom
polymorph energy (0 for the lowest one)	217.1	meV per atom
magnetization	0.2	μB/f.u.
DOS at the Fermi energy	1.586	states/eV/atom

```
Pm7DyEr4
1.0
5.962 0.000 0.000
2.981 9.040 1.903
2.981 1.786 7.840
Pm Er Dy
7 4 1
Direct
0.211 0.763 0.814
0.788 0.883 0.541
0.500 0.000 0.000
0.915 0.447 0.722
0.085 0.553 0.278
0.789 0.237 0.186
0.212 0.117 0.459
0.429 0.698 0.444
0.671 0.616 0.043
0.571 0.302 0.556
0.329 0.384 0.957
0.000 0.000 0.000
```

10.
Material: Tl4Ru5
Method: DFT, PBE
State: relaxed

energy of formation from the pure elements	0.650	eV/atom
magnetization	0.0	μB/f.u.
DOS at the Fermi energy	1.290	states/eV/atom

```
Tl4Ru5
1.0
5.961 -2.559 1.002
-6.018 0.005 2.623
-1.487 -3.608 -5.278
Tl Ru
4 5
Direct
0.000 0.309 0.309
0.691 0.000 0.691
0.000 0.691 0.691
0.309 0.000 0.309
0.355 0.355 0.710
0.000 0.000 0.000
0.645 0.355 0.000
0.355 0.645 0.000
0.645 0.645 0.290
```

11.
Material: LaTeAu2
Method: DFT, PBE
State: relaxed

uncorrected formation energy	-0.64	eV/atom
magnetization	0.0	μB/f.u.
DOS at the Fermi energy	0.746	states/eV/atom

```
LaTeAu2
1.0
5.236 0.000 0.000
2.618 4.534 0.000
2.618 1.511 4.275
La Au Te
1 2 1
Direct
0.500 0.500 0.500
0.000 0.000 0.000
0.750 0.750 0.750
0.250 0.250 0.250
```

12.
Material: Rb2CrRe
Method: DFT, PBE
State: relaxed

energy of formation from the pure elements	1.523	eV/atom
polymorph energy (0 for the lowest one)	0.0	meV per atom
magnetization	1.0	μB/f.u.
DOS at the Fermi energy	0.716	states/eV/atom

```
Rb2CrRe
1.0
-3.022 7.329 10.771
-0.412 -11.105 7.441
0.501 -1.658 9.572
Cr Rb Re
2 4 2
Direct
0.500 0.500 0.000
0.250 0.750 0.500
0.449 0.125 0.250
0.301 0.625 0.250
0.875 0.699 0.750
0.375 0.551 0.750
0.000 0.000 0.000
0.750 0.250 0.500
```

13.
Material: EuCdAgGe
Method: DFT, PBE
State: relaxed

energy of formation from the pure elements	-0.277	eV/atom
magnetization	7.0	μB/f.u.
DOS at the Fermi energy	1.135	states/eV/atom

```
EuCdAgGe
1.0
5.033 0.000 0.000
2.516 4.359 0.000
2.516 1.453 4.109
Ag Ge Cd Eu
1 1 1 1
Direct
0.500 0.500 0.500
0.000 0.000 0.000
0.250 0.250 0.250
0.750 0.750 0.750
```

14.
Material: SrY2AlCo
Method: DFT, PBE
State: relaxed

energy of formation from the pure elements	-0.106	eV/atom
magnetization	0.0	μB/f.u.
DOS at the Fermi energy	0.689	states/eV/atom

```
SrY2AlCo
1.0
-0.516 -5.190 -0.623
3.963 -0.796 3.354
-3.171 -0.131 3.715
Sr Al Y Co
1 1 2 1
Direct
0.500 0.500 0.500
0.000 0.000 0.500
0.000 0.500 0.000
0.500 0.000 0.000
0.000 0.000 0.000
```

15.
Material: YZn3Tc
Method: DFT, PBE
State: relaxed

energy of formation from the pure elements	1.612	eV/atom
polymorph energy (0 for the lowest one)	1406.1	meV per atom
magnetization	3.2	μB/f.u.
DOS at the Fermi energy	0.969	states/eV/atom

```
YZn3Tc
1.0
5.298 0.000 0.000
0.000 5.298 0.000
0.000 0.000 5.298
Zn Y Tc
3 1 1
Direct
0.000 0.000 0.500
0.500 0.000 0.000
0.000 0.500 0.000
0.000 0.000 0.000
0.500 0.500 0.500
```

16.
Material: Cs3SiSe4
Method: DFT, PBE
State: relaxed

uncorrected formation energy	-0.95	eV/atom
polymorph energy (0 for the lowest one)	17.6	meV per atom
magnetization	1.1	μB/f.u.
DOS at the Fermi energy	1.193	states/eV/atom

```
Cs3SiSe4
1.0
7.792 0.000 0.000
0.000 11.054 0.000
0.000 0.000 15.897
Se Si Cs
16 4 12
Direct
0.913 0.250 0.248
0.116 0.575 0.385
0.116 0.925 0.385
0.616 0.075 0.115
0.546 0.250 0.510
0.884 0.425 0.615
0.413 0.750 0.252
0.616 0.425 0.115
0.884 0.075 0.615
0.087 0.750 0.752
0.046 0.750 0.990
0.454 0.750 0.490
0.384 0.925 0.885
0.954 0.250 0.010
0.587 0.250 0.748
0.384 0.575 0.885
0.228 0.750 0.877
0.272 0.750 0.377
0.772 0.250 0.123
0.728 0.250 0.623
0.141 0.993 0.147
0.359 0.993 0.647
0.903 0.750 0.551
0.859 0.493 0.853
0.641 0.493 0.353
0.403 0.250 0.949
0.597 0.750 0.051
0.641 0.007 0.353
0.097 0.250 0.449
0.859 0.007 0.853
0.359 0.507 0.647
0.141 0.507 0.147
```